[1]
# NaPmSb2

A relaxed structure of NaPmSb2 (PBE, Alexandria via LeMat-Bulk).

Unit cell a=4.113 b=4.113 c=6.916 alpha=90.00 beta=90.00 gamma=90.00
Atoms (fractional coordinates):
Pm (0.500, 0.500, 0.000)
Sb (0.000, 0.000, 0.771)
Sb (0.000, 0.000, 0.229)
Na (0.500, 0.500, 0.500)

Properties
Volume (Å³/cell): 117.00
Total magnetic moment (μB/f.u.): 0.00
E above lowest polymorph (eV per atom): 0.007
E_form (uncorrected) (meV/atom): -617


[2]
# NaPmSb4

A relaxed structure of NaPmSb4 (PBE, Alexandria via LeMat-Bulk).

Unit cell a=6.333 b=6.333 c=6.333 alpha=60.00 beta=60.00 gamma=60.00
Atoms (fractional coordinates):
Sb (0.123, 0.626, 0.626)
Sb (0.626, 0.626, 0.626)
Sb (0.626, 0.123, 0.626)
Sb (0.626, 0.626, 0.123)
Pm (0.250, 0.250, 0.250)
Na (0.000, 0.000, 0.000)

Properties
Volume (Å³/cell): 179.62
Total magnetic moment (μB/f.u.): 0.00
E_form (uncorrected) (meV/atom): -166


[3]
# NaPm2Sb

A relaxed structure of NaPm2Sb (PBE, Alexandria via LeMat-Bulk).

Unit cell a=5.431 b=5.431 c=5.431 alpha=60.00 beta=60.00 gamma=60.00
Atoms (fractional coordinates):
Na (0.500, 0.500, 0.500)
Pm (0.250, 0.250, 0.250)
Pm (0.750, 0.750, 0.750)
Sb (0.000, 0.000, 0.000)

Properties
Volume (Å³/cell): 113.28
Total magnetic moment (μB/f.u.): 0.00
E above lowest polymorph (eV per atom): 0.058
E_form (uncorrected) (meV/atom): -385


[4]
# NaPmSb2

A relaxed structure of NaPmSb2 (PBE, Alexandria via LeMat-Bulk).

Unit cell a=5.434 b=5.434 c=5.434 alpha=60.00 beta=60.00 gamma=60.00
Atoms (fractional coordinates):
Sb (0.250, 0.250, 0.250)
Sb (0.750, 0.750, 0.750)
Pm (0.000, 0.000, 0.000)
Na (0.500, 0.500, 0.500)

Properties
Volume (Å³/cell): 113.49
Total magnetic moment (μB/f.u.): 0.00
E above lowest polymorph (eV per atom): 0.093
E_form (uncorrected) (meV/atom): -531


[5]
# NaPmSb2

A relaxed structure of NaPmSb2 (PBE, Alexandria via LeMat-Bulk).

Unit cell a=4.339 b=5.033 c=5.033 alpha=90.00 beta=90.00 gamma=90.00
Atoms (fractional coordinates):
Sb (0.000, 0.500, 0.000)
Sb (0.000, 0.000, 0.500)
Na (0.500, 0.500, 0.500)
Pm (0.500, 0.000, 0.000)

Properties
Volume (Å³/cell): 109.90
Total magnetic moment (μB/f.u.): 0.00
E above lowest polymorph (eV per atom): 0.000
E_form (uncorrected) (meV/atom): -624


[6]
# NaPm2Sb

A relaxed structure of NaPm2Sb (PBE, Alexandria via LeMat-Bulk).

Unit cell a=4.093 b=4.093 c=7.246 alpha=90.00 beta=90.00 gamma=90.00
Atoms (fractional coordinates):
Na (0.500, 0.500, 0.000)
Pm (0.000, 0.000, 0.273)
Pm (0.000, 0.000, 0.727)
Sb (0.500, 0.500, 0.500)

Properties
Volume (Å³/cell): 121.38
Total magnetic moment (μB/f.u.): 0.63
E above lowest polymorph (eV per atom): 0.068
E_form (uncorrected) (meV/atom): -375


[7]
# NaPmSb2

A relaxed structure of NaPmSb2 (PBE, Alexandria via LeMat-Bulk).

Unit cell a=6.337 b=6.337 c=6.528 alpha=90.02 beta=89.99 gamma=58.97
Atoms (fractional coordinates):
Na (0.000, 0.000, 0.000)
Na (0.500, 0.500, 0.000)
Sb (0.500, 0.000, 0.172)
Sb (0.000, 0.500, 0.828)
Sb (0.500, 0.500, 0.500)
Sb (0.000, 0.000, 0.500)
Pm (0.000, 0.500, 0.322)
Pm (0.500, 0.000, 0.678)

Properties
Volume (Å³/cell): 224.59
Total magnetic moment (μB/f.u.): 0.00
E above lowest polymorph (eV per atom): 0.026
E_form (uncorrected) (meV/atom): -598


[8]
# Na2PmSbSe4

A relaxed structure of Na2PmSbSe4 (PBE, Alexandria via LeMat-Bulk).

Unit cell a=4.210 b=7.318 c=7.431 alpha=109.11 beta=90.00 gamma=90.00
Atoms (fractional coordinates):
Se (0.500, 0.240, 0.233)
Se (0.000, 0.750, 0.233)
Se (0.000, 0.250, 0.767)
Se (0.500, 0.760, 0.767)
Pm (0.500, 0.500, 0.000)
Na (0.500, 0.000, 0.500)
Na (0.000, 0.500, 0.500)
Sb (0.000, 0.000, 0.000)

Properties
Volume (Å³/cell): 216.29
Total magnetic moment (μB/f.u.): 0.00
E_form (uncorrected) (meV/atom): -1163


[9]
# Na2PmSbTe4

A relaxed structure of Na2PmSbTe4 (PBE, Alexandria via LeMat-Bulk).

Unit cell a=4.483 b=7.812 c=7.976 alpha=108.88 beta=90.00 gamma=90.00
Atoms (fractional coordinates):
Te (0.500, 0.762, 0.768)
Te (0.000, 0.751, 0.235)
Te (0.500, 0.238, 0.232)
Te (0.000, 0.249, 0.765)
Pm (0.500, 0.500, 0.000)
Na (0.500, 0.000, 0.500)
Na (0.000, 0.500, 0.500)
Sb (0.000, 0.000, 0.000)

Properties
Volume (Å³/cell): 264.27
Total magnetic moment (μB/f.u.): 0.00
E_form (uncorrected) (meV/atom): -884


[10]
# Na4PmSb3Te8

A relaxed structure of Na4PmSb3Te8 (PBE, Alexandria via LeMat-Bulk).

Unit cell a=8.941 b=9.166 c=8.940 alpha=119.22 beta=120.00 gamma=90.00
Atoms (fractional coordinates):
Te (0.753, 0.268, 0.506)
Te (0.247, 0.732, 0.494)
Te (0.753, 0.268, 0.015)
Te (0.744, 0.731, 0.487)
Te (0.247, 0.732, 0.985)
Te (0.261, 0.268, 0.015)
Te (0.739, 0.732, 0.985)
Te (0.256, 0.269, 0.513)
Sb (0.000, 0.500, 0.500)
Sb (0.500, 0.500, 0.500)
Sb (0.500, 0.500, 0.000)
Pm (0.000, 0.500, 0.000)
Na (0.500, 0.000, 0.500)
Na (0.000, 0.000, 0.000)
Na (0.000, 0.000, 0.500)
Na (0.500, 0.000, 0.000)

Properties
Volume (Å³/cell): 524.15
Total magnetic moment (μB/f.u.): 0.00
E_form (uncorrected) (meV/atom): -667


[11]
# Na3Pm2SbTe6

A relaxed structure of Na3Pm2SbTe6 (PBE, Alexandria via LeMat-Bulk).

Unit cell a=7.813 b=7.813 c=7.980 alpha=99.39 beta=99.39 gamma=120.00
Atoms (fractional coordinates):
Te (0.404, 0.078, 0.235)
Te (0.596, 0.922, 0.765)
Te (0.078, 0.404, 0.235)
Te (0.922, 0.596, 0.765)
Te (0.752, 0.752, 0.233)
Te (0.248, 0.248, 0.767)
Na (0.165, 0.835, 0.500)
Na (0.835, 0.165, 0.500)
Na (0.500, 0.500, 0.500)
Pm (0.333, 0.667, 0.000)
Pm (0.667, 0.333, 0.000)
Sb (0.000, 0.000, 0.000)

Properties
Volume (Å³/cell): 398.82
Total magnetic moment (μB/f.u.): 0.00
E_form (uncorrected) (meV/atom): -1032


[12]
# NaPmZnSb

A relaxed structure of NaPmZnSb (PBE, Alexandria via LeMat-Bulk).

Unit cell a=5.261 b=5.261 c=5.261 alpha=60.00 beta=60.00 gamma=60.00
Atoms (fractional coordinates):
Sb (0.750, 0.750, 0.750)
Pm (0.500, 0.500, 0.500)
Na (0.000, 0.000, 0.000)
Zn (0.250, 0.250, 0.250)

Properties
Volume (Å³/cell): 102.94
Total magnetic moment (μB/f.u.): 0.00
E_form (uncorrected) (meV/atom): -380


- What is the E_form (uncorrected) in the first record?
  -617 meV/atom